(1)
# Nd2Dy2CI3Cl2

Nd2Dy2CI3Cl2 after structural relaxation (PBE, OQMD via LeMat-Bulk).

```
data_Nd2Dy2CI3Cl2
_chemical_formula_sum 'Nd4 Dy4 C2 I6 Cl4'
_space_group_name_H-M_alt 'C 1 2/m 1'
_space_group_IT_number 12
_space_group_name_Hall '-C 2y'
_cell_length_a 18.5976
_cell_length_b 3.9289
_cell_length_c 8.4865
_cell_angle_alpha 90.00
_cell_angle_beta 101.02
_cell_angle_gamma 90.00
loop_
_atom_site_label
_atom_site_type_symbol
_atom_site_fract_x
_atom_site_fract_y
_atom_site_fract_z
_atom_site_occupancy
Nd1 Nd 0.1376 0.0000 0.0715 1
Dy1 Dy 0.0020 0.5000 0.8091 1
C1 C 0.0000 0.0000 0.0000 1
I1 I 0.0000 0.0000 0.5000 1
I2 I 0.1716 0.5000 0.8000 1
Cl1 Cl 0.1449 0.5000 0.3151 1
```

Calculated total energy (eV per cell): -99.434

(2)
# BiPPtO

BiPPtO after structural relaxation (PBE, OQMD via LeMat-Bulk).

```
data_BiPPtO
_chemical_formula_sum 'Bi2 P2 Pt2 O2'
_space_group_name_H-M_alt 'P m c 21'
_space_group_IT_number 26
_space_group_name_Hall 'P 2c -2'
_cell_length_a 3.7649
_cell_length_b 5.9179
_cell_length_c 6.9449
_cell_angle_alpha 90.00
_cell_angle_beta 90.00
_cell_angle_gamma 90.00
loop_
_atom_site_label
_atom_site_type_symbol
_atom_site_fract_x
_atom_site_fract_y
_atom_site_fract_z
_atom_site_occupancy
Bi1 Bi 0.0000 0.0886 0.0000 1
P1 P 0.5000 0.3636 0.8169 1
Pt1 Pt 0.5000 0.3096 0.5022 1
O1 O 0.0000 0.2236 0.2972 1
```

Calculated total energy (eV per cell): -42.109

What is the calculated total energy in the first record? -99.434 eV per cell